Entry from Alexandria: Pa2VGe after structural relaxation (PBE-GGA).

Structure (POSCAR):
```
Pa2VGe
1.0
-2.8055 -1.2934 2.0637
2.4041 -0.9667 2.6624
-0.6463 5.5464 2.5975
V Ge Pa
1 1 2
Cartesian
-0.2007 -1.1301 2.3630 V
-0.5239 1.6431 3.6618 Ge
-0.4752 4.0778 1.9097 Pa
-0.1711 1.4686 0.6878 Pa
```

Summary:
- offset from the most stable computed form (meV/atom) = 144.5
- calculated formation energy (eV/atom) = -0.032
- density of states at the Fermi level (states/eV per atom) = 1.780
- M_tot (μB/f.u.) = 0.89
- SG = P4/mmm (123)